This record from Alexandria via LeMat-Bulk describes crystalline Li2TbMoF8 at its relaxed geometry. The functional is GGA+U.

Results
DOS at the Fermi energy in states/eV/cell: 0.000
Final energy in eV/atom: -5.710
Calculated volume in Å³/cell: 159.6

The structure in CIF format:
```
data_Li2TbMoF8
_cell_length_a 4.8024
_cell_length_b 6.8949
_cell_length_c 4.8215
_cell_angle_alpha 90.00
_cell_angle_beta 91.66
_cell_angle_gamma 90.00
_space_group_name_H-M_alt 'P 1 2/m 1'
_space_group_IT_number 10
loop_
_space_group_symop_operation_xyz
'x,y,z'
'-x,-y,-z'
'-x,y,-z'
'x,-y,z'
loop_
_atom_site_label
_atom_site_type_symbol
_atom_site_fract_x
_atom_site_fract_y
_atom_site_fract_z
Li1 Li 0.0000 0.2366 0.0000
Tb1 Tb 0.5000 0.5000 0.5000
Mo1 Mo 0.5000 0.0000 0.5000
F1 F 0.1867 0.5000 0.8100
F2 F 0.1978 0.0000 0.8005
F3 F 0.3002 0.2388 0.2986
```